1.
Sr2LiCu after structural relaxation. Source: Alexandria via LeMat-Bulk, functional PBE-GGA.

Properties
The value obtained for the calculated volume is 126 Å³/f.u. Its formation enthalpy at 0 K is 0.0837 eV/atom.

Cell lengths 5.4044, 5.4197, 8.5853 Å; angles 90.00, 90.00, 90.00 degrees
Closest atoms and distances in Å follow each position.
Space group Cmm2 (No. 35)
Unique sites:
Sr1 0.0000 0.0000 0.0000  1 Cu 3.27, 4 Li 3.51
Sr2 0.0000 0.5000 0.3917  1 Li 2.99, 4 Cu 3.33-3.34
Li1 0.0000 0.5000 0.7399  4 Cu 2.90, 1 Sr 2.99
Cu1 0.0000 0.0000 0.6186  4 Li 2.90


2.
Sr4LiCu after structural relaxation. Source: Alexandria via LeMat-Bulk, functional PBE-GGA.

Properties
The value obtained for the calculated volume is 298 Å³/f.u. Its formation enthalpy at 0 K is 0.6357 eV/atom.

Cell lengths 10.5977, 10.5977, 10.5977 Å; angles 90.00, 90.00, 90.00 degrees
Closest atoms and distances in Å follow each position.
Space group F-43m (No. 216)
Unique sites:
Sr1 0.1250 0.1250 0.1250  6 Sr 3.75
Li1 0.0000 0.0000 0.5000  12 Sr 4.39, 4 Cu 4.59
Cu1 0.2500 0.2500 0.7500  12 Sr 4.39, 4 Li 4.59


3.
SrLi3Cu2 after structural relaxation. Source: Alexandria via LeMat-Bulk, functional PBE-GGA.

Properties
The value obtained for the calculated volume is 120 Å³/f.u. Its formation enthalpy at 0 K is -0.0120 eV/atom.

Cell lengths 9.8325, 9.8325, 4.3144 Å; angles 90.00, 90.00, 120.00 degrees
Closest atoms and distances in Å follow each position.
Space group P6/mmm (No. 191)
Unique sites:
Sr1 0.0000 0.0000 0.0000  6 Cu 3.08
Sr2 0.3333 0.6667 0.5000  6 Cu 3.37, 12 Li 3.48-3.57
Li1 0.0000 0.2946 0.5000  4 Cu 2.66, 4 Li 2.90-2.96
Li2 0.0000 0.5000 0.0000  4 Cu 2.72, 4 Li 2.96
Cu1 0.1810 0.3620 0.0000  6 Li 2.66-2.72


4.
Sr8Li2Cu after structural relaxation. Source: Alexandria via LeMat-Bulk, functional PBE-GGA.

Properties
The value obtained for the calculated volume is 499 Å³/f.u. Its formation enthalpy at 0 K is 0.0359 eV/atom.

Cell lengths 21.2322, 4.4412, 10.6854 Å; angles 90.00, 97.97, 90.00 degrees
Closest atoms and distances in Å follow each position.
Space group C2/m (No. 12)
Unique sites:
Sr1 0.0088 0.0000 0.2003  2 Cu 3.07
Sr2 0.0939 0.5000 0.5475  2 Li 3.52
Sr3 0.1500 0.5000 0.0066  1 Cu 3.18
Sr4 0.2097 0.0000 0.3430  2 Li 3.51
Li1 0.1808 0.0000 0.7620  6 Sr 3.51-3.56
Cu1 0.0000 0.5000 0.0000  6 Sr 3.07-3.18


5.
SrLi2Cu9 after structural relaxation. Source: Alexandria via LeMat-Bulk, functional PBE-GGA.

Properties
The calculation puts the energy above the lowest structure with this stoichiometry at 15 meV/atom. The value obtained for the calculated volume is 181 Å³/f.u. Its formation enthalpy at 0 K is -0.0502 eV/atom.

Cell lengths 5.0771, 5.0771, 24.2862 Å; angles 90.00, 90.00, 120.00 degrees
Closest atoms and distances in Å follow each position.
Space group R-3m (No. 166, hexagonal axes)
Unique sites:
Sr1 0.0000 0.0000 0.0000  6 Cu 2.93
Li1 0.0000 0.0000 0.1491  12 Cu 2.80-2.97, 3 Li 3.05
Cu1 0.0000 0.0000 0.3329  6 Cu 2.53-2.56
Cu2 0.0000 0.0000 0.5000  6 Cu 2.46
Cu3 0.0024 0.5012 0.9142  7 Cu 2.46-2.56


6.
SrLi2Cu after structural relaxation. Source: Alexandria via LeMat-Bulk, functional PBE-GGA.

Properties
The calculation puts the energy above the lowest structure with this stoichiometry at 96 meV/atom. The value obtained for the calculated volume is 99 Å³/f.u. Its formation enthalpy at 0 K is 0.0970 eV/atom.

Cell lengths 4.7487, 5.6187, 7.4249 Å; angles 90.00, 90.00, 90.00 degrees
Closest atoms and distances in Å follow each position.
Space group Imm2 (No. 44)
Unique sites:
Sr1 0.0000 0.0000 0.0000  5 Li 3.15-3.47, 4 Cu 3.17-3.27
Li1 0.0000 0.0000 0.5323  2 Cu 2.67, 2 Li 2.89
Li2 0.0000 0.5000 0.8096  1 Cu 2.88, 2 Li 2.89, 2 Sr 3.15
Cu1 0.0000 0.5000 0.1973  3 Li 2.67-2.88


7.
Sr3LiCu after structural relaxation. Source: Alexandria via LeMat-Bulk, functional PBE-GGA.

Properties
The calculation puts the energy above the lowest structure with this stoichiometry at 0 meV/atom. The value obtained for the calculated volume is 191 Å³/f.u. Its formation enthalpy at 0 K is -0.0234 eV/atom.

Cell lengths 18.3012, 4.3881, 9.5320 Å; angles 90.00, 90.87, 90.00 degrees
Closest atoms and distances in Å follow each position.
Space group Cm (No. 8)
Unique sites:
Sr1 0.0000 0.0000 0.0000  3 Cu 3.26-3.28
Sr2 0.0026 0.5000 0.5891  3 Cu 3.26-3.28
Sr3 0.1432 0.0000 0.3498  3 Cu 3.07-3.17
Sr4 0.1996 0.5000 0.0024  4 Li 3.52-3.69
Sr5 0.3028 0.5000 0.5875  4 Li 3.51-3.70
Sr6 0.3601 0.0000 0.2400  3 Cu 3.08-3.17
Li1 0.1578 0.0000 0.7244  8 Sr 3.52-3.93, 1 Li 3.65
Li2 0.3443 0.0000 0.8653  7 Sr 3.51-3.80, 1 Li 3.65
Cu1 0.0285 0.5000 0.2510  2 Cu 2.54
Cu2 0.4754 0.5000 0.3380  2 Cu 2.54


8.
Sr2LiCu16 after structural relaxation. Source: Alexandria via LeMat-Bulk, functional PBE-GGA.

Properties
The value obtained for the calculated volume is 280 Å³/f.u. Its formation enthalpy at 0 K is -0.0576 eV/atom.

Cell lengths 8.7360, 8.7360, 12.6894 Å; angles 90.00, 90.00, 120.00 degrees
Closest atoms and distances in Å follow each position.
Space group R3m (No. 160, hexagonal axes)
Unique sites:
Sr1 0.0000 0.0000 0.0000  19 Cu 3.12-3.34
Sr2 0.0000 0.0000 0.3147  18 Cu 3.12-3.40, 1 Li 3.19
Li1 0.0000 0.0000 0.5660  1 Cu 2.39
Cu1 0.0000 0.0000 0.7540  1 Li 2.39, 6 Cu 2.65-2.67
Cu2 0.0001 0.2897 0.6593  8 Cu 2.48-2.72
Cu3 0.0074 0.5037 0.5013  9 Cu 2.48-2.72
Cu4 0.1684 0.3367 0.1506  8 Cu 2.53-2.72, 1 Li 2.70
Cu5 0.1685 0.3370 0.4920  9 Cu 2.48-2.65, 1 Li 2.72


9.
SrLi3Cu after structural relaxation. Source: Alexandria via LeMat-Bulk, functional PBE-GGA.

Properties
The calculation puts the energy above the lowest structure with this stoichiometry at 1177 meV/atom. The value obtained for the calculated volume is 175 Å³/f.u. Its formation enthalpy at 0 K is 1.1882 eV/atom.

Cell lengths 5.5987, 5.5987, 5.5987 Å; angles 90.00, 90.00, 90.00 degrees
Closest atoms and distances in Å follow each position.
Space group Pm-3m (No. 221)
Unique sites:
Sr1 0.0000 0.0000 0.0000  6 Li 2.80
Li1 0.0000 0.0000 0.5000  2 Sr 2.80
Cu1 0.5000 0.5000 0.5000  12 Li 3.96


10.
SrLi2Cu after structural relaxation. Source: Alexandria via LeMat-Bulk, functional PBE-GGA.

Properties
The calculation puts the energy above the lowest structure with this stoichiometry at 100 meV/atom. The value obtained for the calculated volume is 103 Å³/f.u. Its formation enthalpy at 0 K is 0.1003 eV/atom.

Cell lengths 4.5530, 4.7925, 4.7833 Å; angles 90.00, 100.83, 90.00 degrees
Closest atoms and distances in Å follow each position.
Space group P2/m (No. 10)
Unique sites:
Sr1 0.0000 0.0000 0.0000  2 Cu 2.98
Li1 0.3284 0.5000 0.6764  1 Li 2.51, 2 Cu 2.70
Cu1 0.5000 0.0000 0.5000  4 Li 2.70, 2 Sr 2.98


11.
SrLi2Cu2 after structural relaxation. Source: Alexandria via LeMat-Bulk, functional PBE-GGA.

Properties
The calculation puts the energy above the lowest structure with this stoichiometry at 70 meV/atom. The value obtained for the calculated volume is 104 Å³/f.u. Its formation enthalpy at 0 K is 0.0449 eV/atom.

Cell lengths 4.5874, 4.5874, 9.8823 Å; angles 90.00, 90.00, 90.00 degrees
Closest atoms and distances in Å follow each position.
Space group I4/mmm (No. 139)
Unique sites:
Sr1 0.0000 0.0000 0.0000  8 Cu 3.37, 10 Li 3.48-3.56
Li1 0.0000 0.0000 0.3519  4 Cu 2.51
Cu1 0.0000 0.5000 0.2500  4 Li 2.51


12.
Sr2LiCu after structural relaxation. Source: Alexandria via LeMat-Bulk, functional PBE-GGA.

Properties
The value obtained for the calculated volume is 127 Å³/f.u. Its formation enthalpy at 0 K is 0.0277 eV/atom.

Cell lengths 5.5139, 5.5295, 8.3623 Å; angles 90.00, 90.00, 90.00 degrees
Closest atoms and distances in Å follow each position.
Space group Cmmm (No. 65)
Unique sites:
Sr1 0.0000 0.0000 0.2182  4 Cu 3.31, 4 Li 3.63, 1 Sr 3.65
Li1 0.0000 0.5000 0.5000  8 Sr 3.63, 4 Li 3.90
Cu1 0.0000 0.5000 0.0000  8 Sr 3.31


Repeat the second record exactly.
Sr4LiCu after structural relaxation. Source: Alexandria via LeMat-Bulk, functional PBE-GGA.

Properties
The value obtained for the calculated volume is 298 Å³/f.u. Its formation enthalpy at 0 K is 0.6357 eV/atom.

Cell lengths 10.5977, 10.5977, 10.5977 Å; angles 90.00, 90.00, 90.00 degrees
Closest atoms and distances in Å follow each position.
Space group F-43m (No. 216)
Unique sites:
Sr1 0.1250 0.1250 0.1250  6 Sr 3.75
Li1 0.0000 0.0000 0.5000  12 Sr 4.39, 4 Cu 4.59
Cu1 0.2500 0.2500 0.7500  12 Sr 4.39, 4 Li 4.59